Compound: Na3Pb5F12
Source: Alexandria
Functional: PBE
Structure: relaxed

N(E_F) (states/eV/cell): 55.45
Final energy (eV for the cell shown): -712.4
Magnetic moment (μB per cell): 0.00
Formation energy from raw total energies (eV per atom): -2.205

abc: 14.6227 14.6227 14.6227
angles: 90.00 90.00 90.00
Space group Ia-3d (No. 230)
Symmetry-distinct sites (fractional):
Na: 0.0000 0.2500 0.1250 (multiplicity 24)
Pb: 0.0000 0.0000 0.0000 (multiplicity 16)
Pb: 0.0000 0.2500 0.3750 (multiplicity 24)
F: 0.0221 0.0756 0.6515 (multiplicity 96)


Compound: NaPbF4
Source: Alexandria
Functional: PBE
Structure: relaxed

N(E_F) (states/eV/cell): 1.98
Energy above the most stable polymorph in this dataset (meV/atom): 0
Final energy (eV for the cell shown): -26.4
Magnetic moment (μB per cell): 0.00
Formation energy from raw total energies (eV per atom): -2.320

abc: 3.9638 3.9638 5.5659
angles: 90.00 90.00 90.00
Space group P4/mmm (No. 123)
Symmetry-distinct sites (fractional):
Na: 0.0000 0.0000 0.0000 (multiplicity 1)
Pb: 0.5000 0.5000 0.5000 (multiplicity 1)
F: 0.0000 0.5000 0.2643 (multiplicity 4)


Compound: NaPbF6
Source: Alexandria
Functional: PBE
Structure: relaxed

N(E_F) (states/eV/cell): 20.98
Energy above the most stable polymorph in this dataset (meV/atom): 7
Final energy (eV for the cell shown): -61.6
Magnetic moment (μB per cell): 2.10
Formation energy from raw total energies (eV per atom): -1.820

abc: 5.4012 5.4012 7.7328
angles: 90.00 90.00 90.00
Space group P4_2/m (No. 84)
Symmetry-distinct sites (fractional):
Na: 0.0000 0.0000 0.0000 (multiplicity 2)
Pb: 0.5000 0.5000 0.2500 (multiplicity 2)
F: 0.1926 0.2791 0.1799 (multiplicity 8)
F: 0.3096 0.3584 0.5000 (multiplicity 4)


Compound: Na2PbF4
Source: Alexandria
Functional: PBE
Structure: relaxed

N(E_F) (states/eV/cell): 0.00
Energy above the most stable polymorph in this dataset (meV/atom): 197
Final energy (eV for the cell shown): -60.5
Magnetic moment (μB per cell): 0.00
Formation energy from raw total energies (eV per atom): -2.345

abc: 4.8134 4.8134 12.5996
angles: 90.00 90.00 90.00
Space group I4/mmm (No. 139)
Symmetry-distinct sites (fractional):
Na: 0.0000 0.0000 0.1436 (multiplicity 4)
Pb: 0.0000 0.0000 0.5000 (multiplicity 2)
F: 0.0000 0.0000 0.3108 (multiplicity 4)
F: 0.0000 0.5000 0.0000 (multiplicity 4)


Compound: Na2PbF4
Source: Alexandria
Functional: PBE
Structure: relaxed

N(E_F) (states/eV/cell): 0.00
Energy above the most stable polymorph in this dataset (meV/atom): 13
Final energy (eV for the cell shown): -63.1
Magnetic moment (μB per cell): 0.00
Formation energy from raw total energies (eV per atom): -2.528

abc: 11.9745 4.3347 4.2340
angles: 90.00 99.47 90.00
Space group C2/m (No. 12)
Symmetry-distinct sites (fractional):
Na: 0.1873 0.0000 0.1213 (multiplicity 4)
Pb: 0.0000 0.5000 0.5000 (multiplicity 2)
F: 0.1210 0.0000 0.5791 (multiplicity 4)
F: 0.1311 0.5000 0.0542 (multiplicity 4)


Compound: Na2PbF
Source: Alexandria
Functional: PBE
Structure: relaxed

N(E_F) (states/eV/cell): 1.92
Energy above the most stable polymorph in this dataset (meV/atom): 113
Final energy (eV for the cell shown): -52.6
Magnetic moment (μB per cell): 0.00
Formation energy from raw total energies (eV per atom): -1.233

abc: 6.7653 6.7653 8.8056
angles: 90.00 90.00 90.00
Space group I-42d (No. 122)
Symmetry-distinct sites (fractional):
Na: 0.1081 0.2500 0.1250 (multiplicity 8)
Pb: 0.0000 0.0000 0.5000 (multiplicity 4)
F: 0.0000 0.0000 0.0000 (multiplicity 4)


Compound: Na2PbF
Source: Alexandria
Functional: PBE
Structure: relaxed

N(E_F) (states/eV/cell): 1.15
Energy above the most stable polymorph in this dataset (meV/atom): 83
Final energy (eV for the cell shown): -13.3
Magnetic moment (μB per cell): 0.00
Formation energy from raw total energies (eV per atom): -1.263

abc: 3.1751 3.1751 8.0968
angles: 90.00 90.00 90.00
Space group P4/mmm (No. 123)
Symmetry-distinct sites (fractional):
Na: 0.0000 0.0000 0.1741 (multiplicity 2)
Pb: 0.5000 0.5000 0.5000 (multiplicity 1)
F: 0.5000 0.5000 0.0000 (multiplicity 1)


Compound: Na2PbF4
Source: Alexandria
Functional: PBE
Structure: relaxed

N(E_F) (states/eV/cell): 0.00
Energy above the most stable polymorph in this dataset (meV/atom): 0
Final energy (eV for the cell shown): -126.5
Magnetic moment (μB per cell): 0.00
Formation energy from raw total energies (eV per atom): -2.542

abc: 6.9864 6.9864 9.8068
angles: 90.00 90.00 90.00
Space group I4_1/amd (No. 141, origin choice 2)
Symmetry-distinct sites (fractional):
Na: 0.0000 0.0000 0.0000 (multiplicity 8)
Pb: 0.0000 0.2500 0.3750 (multiplicity 4)
F: 0.0000 0.0241 0.7605 (multiplicity 16)